Record 1
Computed, not measured: a geometry-optimized AcPa2BiO7 structure at the PBE level of DFT.

The value obtained for the magnetic moment is 2.0 μB per formula unit. The density of states at the Fermi level comes out at 0.075 states/eV/atom. For the formation energy from raw total energies, the calculation gives -2831 meV/atom.

It has space group P4/mmm (No. 123), with a = 4.290 Å, b = 4.290 Å, c = 11.493 Å, α = 90.00°, β = 90.00° and γ = 90.00°. The distinct sites, in fractional coordinates, are Ac at (0.000, 0.000, 0.000), Pa at (0.500, 0.500, 0.201), Bi at (0.000, 0.000, 0.500), O at (0.000, 0.500, 0.150), O at (0.500, 0.500, 0.000) and O at (0.500, 0.500, 0.372).

=====

Record 2
Computed, not measured: a geometry-optimized Ac2BiPb2O2 structure at the PBE level of DFT.

The value obtained for the magnetic moment is 0.4 μB per formula unit. The density of states at the Fermi level comes out at 0.758 states/eV/atom. For the formation energy from raw total energies, the calculation gives -1483 meV/atom.

It has space group P-3m1 (No. 164), with a = 4.0060 Å, b = 4.0060 Å, c = 15.6396 Å, α = 90.00°, β = 90.00° and γ = 120.00°. The distinct sites, in fractional coordinates, are Ac at (0.3333, 0.6667, 0.1071), Bi at (0.0000, 0.0000, 0.5000), Pb at (0.0000, 0.0000, 0.2964) and O at (0.3333, 0.6667, 0.9400).